## LiPmEu2 (PBE)

Data for a relaxed LiPmEu2 crystal.

## Properties
Symmetry   P4/mmm
Spin magnetization   3.686 μB per atom
Calculated volume   140.7 Å³ per cell
ΔE_f   0.127 eV per atom
Energy relative to the lowest polymorph listed for this composition   44 meV/atom

Cell: 5.9669 5.9669 3.9523 Å, 90.00 90.00 90.00°
Fractional coordinates of all 4 atoms:
Li  0.0000  0.0000  0.0000
Pm  0.5000  0.5000  0.0000
Eu  0.0000  0.5000  0.5000
Eu  0.5000  0.0000  0.5000